# 1
## Ca2ZrTe (meta-GGA SCAN)

Data for a crystal of Ca2ZrTe relaxed with PBEsol.

Cell lengths 4.030, 5.003, 5.109 Å; angles 90.00, 90.00, 90.00 degrees
Space group Pmmm (No. 47)
Inequivalent atoms, fractional coordinates:
Ca  0.000  0.000  0.000 [1 per cell]
Ca  0.500  0.000  0.500 [1 per cell]
Zr  0.000  0.500  0.500 [1 per cell]
Te  0.500  0.500  0.000 [1 per cell]

Computed properties:
* total magnetic moment: 0.354 μB per atom
* uncorrected energy: -21.979 eV per atom
* formation energy from raw total energies: -0.160 eV/atom

# 2
## RhCS2Cl (meta-GGA SCAN)

Data for a crystal of RhCS2Cl relaxed with PBEsol.

Cell lengths 4.110, 4.110, 3.926 Å; angles 90.00, 90.00, 90.00 degrees
Space group P4/mmm (No. 123)
Inequivalent atoms, fractional coordinates:
Rh  0.000  0.000  0.000 [1 per cell]
C  0.500  0.500  0.500 [1 per cell]
S  0.000  0.500  0.500 [2 per cell]
Cl  0.500  0.500  0.000 [1 per cell]

Computed properties:
* total magnetic moment: 0.000 μB per atom
* uncorrected energy: -12.738 eV per atom
* formation energy from raw total energies: 1.483 eV/atom

# 3
## Nd5Si4 (meta-GGA SCAN)

Data for a crystal of Nd5Si4 relaxed with PBEsol.

Cell lengths 7.691, 14.979, 7.853 Å; angles 90.00, 90.00, 90.00 degrees
Space group Pnma (No. 62)
Inequivalent atoms, fractional coordinates:
Nd  0.041  0.101  0.187 [8 per cell]
Nd  0.138  0.750  0.510 [4 per cell]
Nd  0.189  0.122  0.681 [8 per cell]
Si  0.016  0.750  0.099 [4 per cell]
Si  0.135  0.541  0.474 [8 per cell]
Si  0.249  0.750  0.878 [4 per cell]

Computed properties:
* total magnetic moment: 0.250 μB per atom
* uncorrected energy: -29.401 eV per atom
* formation energy from raw total energies: -0.737 eV/atom

# 4
## BiIrS2 (meta-GGA SCAN)

Data for a crystal of BiIrS2 relaxed with PBEsol.

Cell lengths 3.5504, 3.5504, 23.9334 Å; angles 90.00, 90.00, 120.00 degrees
Space group R-3m (No. 166, hexagonal axes)
Inequivalent atoms, fractional coordinates:
Bi  0.0000  0.0000  0.0000 [3 per cell]
Ir  0.0000  0.0000  0.5000 [3 per cell]
S  0.0000  0.0000  0.1183 [6 per cell]

Computed properties:
* total magnetic moment: 0.000 μB per atom
* uncorrected energy: -42.597 eV per atom
* formation energy from raw total energies: -0.363 eV/atom

# 5
## Y6CoBr10 (meta-GGA SCAN)

Data for a crystal of Y6CoBr10 relaxed with PBEsol.

Cell lengths 7.159, 8.836, 8.991 Å; angles 107.97, 97.10, 105.23 degrees
Space group P-1 (No. 2)
Inequivalent atoms, fractional coordinates:
Y  0.032  0.212  0.412 [2 per cell]
Y  0.124  0.546  0.252 [2 per cell]
Y  0.364  0.636  0.678 [2 per cell]
Co  0.000  0.500  0.500 [1 per cell]
Br  0.087  0.874  0.323 [2 per cell]
Br  0.213  0.238  0.147 [2 per cell]
Br  0.259  0.587  0.962 [2 per cell]
Br  0.354  0.961  0.775 [2 per cell]
Br  0.451  0.316  0.588 [2 per cell]

Computed properties:
* total magnetic moment: 0.061 μB per atom
* uncorrected energy: -24.050 eV per atom
* formation energy from raw total energies: -1.759 eV/atom

# 6
## YNi2Au (meta-GGA SCAN)

Data for a crystal of YNi2Au relaxed with PBEsol.

Cell lengths 4.1049, 4.1049, 13.9242 Å; angles 90.00, 90.00, 120.00 degrees
Space group R3m (No. 160, hexagonal axes)
Inequivalent atoms, fractional coordinates:
Y  0.0000  0.0000  0.0000 [3 per cell]
Ni  0.0000  0.0000  0.4595 [3 per cell]
Ni  0.0000  0.0000  0.7938 [3 per cell]
Au  0.0000  0.0000  0.2072 [3 per cell]

Computed properties:
* total magnetic moment: 0.203 μB per atom
* uncorrected energy: -32.795 eV per atom
* ΔH_f (0 K): -1.8 eV per formula unit

# 7
## ZrNbIr3 (meta-GGA SCAN)

Data for a crystal of ZrNbIr3 relaxed with PBEsol.

Cell lengths 4.684, 4.684, 4.684 Å; angles 90.00, 90.00, 90.00 degrees
Space group Pm-3m (No. 221)
Inequivalent atoms, fractional coordinates:
Zr  0.000  0.000  0.000 [1 per cell]
Nb  0.500  0.500  0.500 [1 per cell]
Ir  0.000  0.500  0.500 [3 per cell]

Computed properties:
* total magnetic moment: 0.000 μB per atom
* uncorrected energy: -54.463 eV per atom
* ΔH_f (0 K): 4.8 eV per formula unit

# 8
## Zr5Sc3 (meta-GGA SCAN)

Data for a crystal of Zr5Sc3 relaxed with PBEsol.

Cell lengths 8.903, 9.028, 4.448 Å; angles 90.00, 90.00, 90.00 degrees
Space group Cmmm (No. 65)
Inequivalent atoms, fractional coordinates:
Zr  0.000  0.000  0.000 [2 per cell]
Zr  0.000  0.244  0.500 [4 per cell]
Zr  0.250  0.250  0.000 [4 per cell]
Sc  0.000  0.500  0.000 [2 per cell]
Sc  0.249  0.000  0.500 [4 per cell]

Computed properties:
* total magnetic moment: 0.000 μB per atom
* uncorrected energy: -24.475 eV per atom
* ΔH_f (0 K): 0.4 eV per formula unit

Among the records above, which one has the highest total magnetic moment? Ca2ZrTe

Among the records above, which one has the highest total magnetic moment? Ca2ZrTe

Repeat the eighth record exactly.
## Zr5Sc3 (meta-GGA SCAN)

Data for a crystal of Zr5Sc3 relaxed with PBEsol.

Cell lengths 8.903, 9.028, 4.448 Å; angles 90.00, 90.00, 90.00 degrees
Space group Cmmm (No. 65)
Inequivalent atoms, fractional coordinates:
Zr  0.000  0.000  0.000 [2 per cell]
Zr  0.000  0.244  0.500 [4 per cell]
Zr  0.250  0.250  0.000 [4 per cell]
Sc  0.000  0.500  0.000 [2 per cell]
Sc  0.249  0.000  0.500 [4 per cell]

Computed properties:
* total magnetic moment: 0.000 μB per atom
* uncorrected energy: -24.475 eV per atom
* ΔH_f (0 K): 0.4 eV per formula unit